(1)
# PuHS3 (PBE, optimized geometry)
data_PuHS3
_cell_length_a 5.1620
_cell_length_b 5.1620
_cell_length_c 5.1620
_cell_angle_alpha 83.66
_cell_angle_beta 83.66
_cell_angle_gamma 83.66
_symmetry_space_group_name_H-M 'P 1'
_symmetry_Int_Tables_number 1
_symmetry_space_group_name_Hall 'P 1'
loop_
_atom_site_label
_atom_site_fract_x
_atom_site_fract_y
_atom_site_fract_z
Pu1 0.1747 0.1747 0.1747
H1 0.9524 0.9524 0.9524
S1 0.6796 0.1591 0.1591
S2 0.1591 0.6796 0.1591
S3 0.1591 0.1591 0.6796
# - Energy: -6.43 eV/atom
# - SG: No. 160


(2)
# YHo4Er2 (PBE, optimized geometry)
data_YHo4Er2
_cell_length_a 6.2065
_cell_length_b 6.4387
_cell_length_c 11.3897
_cell_angle_alpha 90.00
_cell_angle_beta 105.68
_cell_angle_gamma 90.00
_symmetry_space_group_name_H-M 'P 1'
_symmetry_Int_Tables_number 1
_symmetry_space_group_name_Hall 'P 1'
loop_
_atom_site_label
_atom_site_fract_x
_atom_site_fract_y
_atom_site_fract_z
Ho1 0.3494 0.4979 0.7131
Y1 0.8353 0.2500 0.8425
Ho2 0.6506 0.5021 0.2869
Ho3 0.9753 0.2500 0.1458
Er1 0.3017 0.2500 0.4316
Ho4 0.0247 0.7500 0.8542
Y2 0.1647 0.7500 0.1575
Ho5 0.3494 0.0021 0.7131
Er2 0.6983 0.7500 0.5684
Er3 0.3897 0.2500 0.0029
Ho6 0.6506 0.9979 0.2869
Er4 0.6103 0.7500 0.9971
Ho7 0.8641 0.2500 0.5568
Ho8 0.1359 0.7500 0.4432
# - Energy of formation from the pure elements: 140 meV per atom
# - ΔE to the lowest computed polymorph: 18.9 meV per atom
# - SG: No. 11


(3)
# Er2AlSe (PBE, optimized geometry)
data_Er2AlSe
_cell_length_a 4.0336
_cell_length_b 4.2526
_cell_length_c 11.3545
_cell_angle_alpha 100.79
_cell_angle_beta 90.00
_cell_angle_gamma 90.00
_symmetry_space_group_name_H-M 'P 1'
_symmetry_Int_Tables_number 1
_symmetry_space_group_name_Hall 'P 1'
loop_
_atom_site_label
_atom_site_fract_x
_atom_site_fract_y
_atom_site_fract_z
Al1 0.2500 0.4608 0.9215
Al2 0.7500 0.5392 0.0785
Er1 0.7500 0.9330 0.8660
Er2 0.2500 0.3218 0.6437
Se1 0.2500 0.1937 0.3873
Er3 0.7500 0.6782 0.3563
Er4 0.2500 0.0670 0.1340
Se2 0.7500 0.8063 0.6127
# - ΔE to the lowest computed polymorph: 0.0 meV per atom
# - SG: No. 63
# - Formation energy (no corrections): -1.09 eV per atom


(4)
# Sm2Ga2Au3 (PBE, optimized geometry)
data_Sm2Ga2Au3
_cell_length_a 4.2328
_cell_length_b 7.2827
_cell_length_c 10.2065
_cell_angle_alpha 90.00
_cell_angle_beta 101.97
_cell_angle_gamma 90.00
_symmetry_space_group_name_H-M 'P 1'
_symmetry_Int_Tables_number 1
_symmetry_space_group_name_Hall 'P 1'
loop_
_atom_site_label
_atom_site_fract_x
_atom_site_fract_y
_atom_site_fract_z
Sm1 0.0564 0.7500 0.1127
Sm2 0.8438 0.7500 0.6877
Ga1 0.3096 0.0548 0.6192
Au1 0.5646 0.4440 0.1293
Sm3 0.9436 0.2500 0.8873
Ga2 0.6904 0.5548 0.3808
Au2 0.2231 0.7500 0.4463
Au3 0.5646 0.0560 0.1293
Au4 0.4354 0.5560 0.8707
Au5 0.7769 0.2500 0.5537
Ga3 0.6904 0.9452 0.3808
Sm4 0.1562 0.2500 0.3123
Ga4 0.3096 0.4452 0.6192
Au6 0.4354 0.9440 0.8707
# - Energy of formation from the pure elements: -688 meV per atom
# - ΔE to the lowest computed polymorph: 9.2 meV per atom
# - SG: No. 63


(5)
# AsWSe2 (PBE, optimized geometry)
data_AsWSe2
_cell_length_a 4.8197
_cell_length_b 4.8197
_cell_length_c 4.4453
_cell_angle_alpha 70.02
_cell_angle_beta 70.02
_cell_angle_gamma 111.50
_symmetry_space_group_name_H-M 'P 1'
_symmetry_Int_Tables_number 1
_symmetry_space_group_name_Hall 'P 1'
loop_
_atom_site_label
_atom_site_fract_x
_atom_site_fract_y
_atom_site_fract_z
Se1 0.5000 0.5000 0.0000
Se2 0.0000 0.0000 0.0000
W1 0.5000 0.0000 0.5000
As1 0.0000 0.5000 0.5000
# - SG: No. 12
# - Formation energy (no corrections): 0.62 eV per atom


(6)
# SrTe2Au (PBE, optimized geometry)
data_SrTe2Au
_cell_length_a 6.4388
_cell_length_b 6.4388
_cell_length_c 6.4388
_cell_angle_alpha 141.06
_cell_angle_beta 135.49
_cell_angle_gamma 60.60
_symmetry_space_group_name_H-M 'P 1'
_symmetry_Int_Tables_number 1
_symmetry_space_group_name_Hall 'P 1'
loop_
_atom_site_label
_atom_site_fract_x
_atom_site_fract_y
_atom_site_fract_z
Au1 0.5459 0.5459 0.0000
Te1 0.7235 0.2235 0.5000
Te2 0.9742 0.9742 0.0000
Sr1 0.2563 0.7563 0.5000
# - SG: No. 44
# - Formation energy (no corrections): -0.58 eV per atom